# NaMn2CdSe

NaMn2CdSe after structural relaxation (PBE, the Alexandria database).

POSCAR file:
```
NaMn2CdSe
1.0
-3.5534 -0.1791 -3.5693
-2.0455 -4.0341 2.2388
-2.9325 3.0230 2.7678
Se Na Cd Mn
1 1 1 2
direct
0.5000 0.5000 0.5000
0.0000 0.0000 0.0000
0.0000 0.5000 0.0000
0.0000 0.0000 0.5000
0.5000 0.0000 0.0000
```

Properties
The final energy comes out at -17.829 eV/cell.


# NaSr2MnCd

NaSr2MnCd after structural relaxation (PBE, the Alexandria database).

POSCAR file:
```
NaSr2MnCd
1.0
6.2804 0.0000 0.0000
0.0000 5.5124 0.0000
0.0000 0.0000 6.2804
Sr Na Cd Mn
2 1 1 1
direct
0.0000 0.0000 0.5000
0.5000 0.0000 0.0000
0.0000 0.5000 0.0000
0.0000 0.0000 0.0000
0.5000 0.5000 0.5000
```

Properties
The calculation puts the energy of formation at 0.536 eV per atom.


# NaTaMnCd2

NaTaMnCd2 after structural relaxation (PBE, the Alexandria database).

POSCAR file:
```
NaTaMnCd2
1.0
5.2122 0.0000 0.0000
0.0000 4.3395 0.0000
0.0000 0.0000 5.2122
Cd Ta Mn Na
2 1 1 1
direct
0.5000 0.0000 0.0000
0.0000 0.0000 0.5000
0.0000 0.5000 0.0000
0.0000 0.0000 0.0000
0.5000 0.5000 0.5000
```

Properties
The calculation puts the energy of formation at 0.648 eV per atom.


# NaTi2MnCd

NaTi2MnCd after structural relaxation (PBE, the Alexandria database).

POSCAR file:
```
NaTi2MnCd
1.0
-3.6597 -0.4009 -2.5155
-1.0389 -3.7856 2.1147
-2.7304 2.7257 3.5379
Mn Na Ti Cd
1 1 2 1
direct
0.0000 0.0000 0.0000
0.5000 0.5000 0.5000
0.5000 0.0000 0.0000
0.0000 0.5000 0.0000
0.0000 0.0000 0.5000
```

Properties
The calculation puts the energy of formation at 0.386 eV per atom.